Here is a relaxed CaLaI5 crystal from the Alexandria database. Energies are from PBE.

Cell lengths 8.1340, 8.1340, 19.3683 Å; angles 90.00, 90.00, 148.14 degrees
Fractional positions:
Ca: 0.0122 0.9878 0.7500
Ca: 0.9878 0.0122 0.2500
La: 0.5000 0.5000 0.0000
La: 0.5000 0.5000 0.5000
I: 0.1292 0.8708 0.5512
I: 0.1292 0.8708 0.9488
I: 0.3523 0.6477 0.2500
I: 0.4116 0.5884 0.6486
I: 0.4116 0.5884 0.8514
I: 0.5884 0.4116 0.1486
I: 0.5884 0.4116 0.3514
I: 0.6477 0.3523 0.7500
I: 0.8708 0.1292 0.0512
I: 0.8708 0.1292 0.4488

Values from the calculation:
Mass density: 3.995 Mg/m³
Energy relative to the elements, uncorrected: -10.49 eV per formula unit
Symmetry: Cmcm
Calculated volume: 48.3 A^3/atom

=====

Here is a relaxed NaCaTlHg2 crystal from the Alexandria database. Energies are from PBE.

Cell lengths 5.2481, 5.2481, 6.2401 Å; angles 90.00, 90.00, 120.00 degrees
Fractional positions:
Na: 0.0000 0.0000 0.0000
Ca: 0.3333 0.6667 0.5687
Tl: 0.6667 0.3333 0.2826
Hg: 0.0000 0.0000 0.4882
Hg: 0.6667 0.3333 0.7928

Values from the calculation:
Mass density: 7.459 Mg/m³
Symmetry: P3m1
Formation enthalpy at 0 K: -0.24 eV per atom
Calculated volume: 29.8 A^3/atom

=====

Here is a relaxed Pr5CdIn2 crystal from the Alexandria database. Energies are from PBE.

Cell lengths 7.2250, 7.2250, 9.3381 Å; angles 90.00, 90.00, 90.00 degrees
Fractional positions:
Pr: 0.0000 0.0000 0.0000
Pr: 0.2500 0.2500 0.2500
Pr: 0.2500 0.2500 0.7500
Pr: 0.2500 0.7500 0.2500
Pr: 0.2500 0.7500 0.7500
Pr: 0.5000 0.5000 0.5000
Pr: 0.7500 0.2500 0.2500
Pr: 0.7500 0.2500 0.7500
Pr: 0.7500 0.7500 0.2500
Pr: 0.7500 0.7500 0.7500
Cd: 0.0000 0.0000 0.5000
Cd: 0.5000 0.5000 0.0000
In: 0.0000 0.5000 0.0000
In: 0.0000 0.5000 0.5000
In: 0.5000 0.0000 0.0000
In: 0.5000 0.0000 0.5000

Values from the calculation:
Mass density: 7.130 Mg/m³
Symmetry: I4/mmm
Formation enthalpy at 0 K: -0.31 eV per atom
Calculated volume: 30.5 A^3/atom

=====

Here is a relaxed SrGaPb2 crystal from the Alexandria database. Energies are from PBE.

Cell lengths 5.0696, 5.0696, 21.0412 Å; angles 90.00, 90.00, 90.00 degrees
Fractional positions:
Sr: 0.0000 0.0000 0.0000
Sr: 0.0000 0.5000 0.2500
Sr: 0.5000 0.0000 0.7500
Sr: 0.5000 0.5000 0.5000
Ga: 0.0000 0.0000 0.5000
Ga: 0.0000 0.5000 0.7500
Ga: 0.5000 0.0000 0.2500
Ga: 0.5000 0.5000 0.0000
Pb: 0.1863 0.2500 0.6250
Pb: 0.2500 0.6863 0.8750
Pb: 0.2500 0.8137 0.3750
Pb: 0.3137 0.2500 0.1250
Pb: 0.6863 0.7500 0.1250
Pb: 0.7500 0.1863 0.3750
Pb: 0.7500 0.3137 0.8750
Pb: 0.8137 0.7500 0.6250

Values from the calculation:
Mass density: 7.023 Mg/m³
Symmetry: I-42d
Formation enthalpy at 0 K: -0.11 eV per atom
Calculated volume: 33.8 A^3/atom

=====

no.,spin magnetization (μB per cell)
1,0.000
2,0.000
3,0.000
4,0.000